No. 1
# Ba4HPd, relaxed, DFT PBE
data_Ba4HPd
_symmetry_space_group_name_H-M 'C 1 2/m 1'
_symmetry_Int_Tables_number 12
_symmetry_space_group_name_Hall '-C 2y'
_cell_length_a 16.6909
_cell_length_b 4.5087
_cell_length_c 7.7292
_cell_angle_alpha 90.00
_cell_angle_beta 117.27
_cell_angle_gamma 90.00
loop_
_atom_site_label
_atom_site_type_symbol
_atom_site_fract_x
_atom_site_fract_y
_atom_site_fract_z
_atom_site_occupancy
Ba1 Ba 0.1139 0.0000 0.4525 1
Ba2 Ba 0.1193 0.5000 0.9476 1
H1 H 0.0000 0.5000 0.5000 1
Pd1 Pd 0.0000 0.0000 0.0000 1
# Offset from the most stable computed form (meV per atom): 18



No. 2
# Ba2H2Pd, relaxed, DFT PBE
data_Ba2H2Pd
_symmetry_space_group_name_H-M 'I 4/m m m'
_symmetry_Int_Tables_number 139
_symmetry_space_group_name_Hall '-I 4 2'
_cell_length_a 4.1532
_cell_length_b 4.1532
_cell_length_c 14.1395
_cell_angle_alpha 90.00
_cell_angle_beta 90.00
_cell_angle_gamma 90.00
loop_
_atom_site_label
_atom_site_type_symbol
_atom_site_fract_x
_atom_site_fract_y
_atom_site_fract_z
_atom_site_occupancy
Ba1 Ba 0.0000 0.0000 0.1361 1
H1 H 0.0000 0.5000 0.2500 1
Pd1 Pd 0.0000 0.0000 0.5000 1
# Offset from the most stable computed form (meV per atom): 6



No. 3
# BaHPd3, relaxed, DFT PBE
data_BaHPd3
_symmetry_space_group_name_H-M 'P m -3 m'
_symmetry_Int_Tables_number 221
_symmetry_space_group_name_Hall '-P 4 2 3'
_cell_length_a 4.3803
_cell_length_b 4.3803
_cell_length_c 4.3803
_cell_angle_alpha 90.00
_cell_angle_beta 90.00
_cell_angle_gamma 90.00
loop_
_atom_site_label
_atom_site_type_symbol
_atom_site_fract_x
_atom_site_fract_y
_atom_site_fract_z
_atom_site_occupancy
Ba1 Ba 0.0000 0.0000 0.0000 1
H1 H 0.5000 0.5000 0.5000 1
Pd1 Pd 0.0000 0.5000 0.5000 1
# Offset from the most stable computed form (meV per atom): 0